Model w:
Entry from the Alexandria database: a relaxed Ac2SnP crystal (GGA-PBE).

Structure (POSCAR):
```
Ac2SnP
1.0
-2.0855 4.6322 2.3628
-4.9169 -0.1920 2.6790
-0.1695 0.4653 5.5807
Ac P Sn
2 1 1
Direct
0.2500 0.2500 0.2500 Ac
0.7500 0.7500 0.7500 Ac
0.0000 0.0000 0.0000 P
0.5000 0.5000 0.5000 Sn
```

## Properties
M_tot = 0.00 μB/cell


Model x:
Entry from the Alexandria database: a relaxed Ac2SnP crystal (GGA-PBE).

Structure (POSCAR):
```
Ac2SnP
1.0
3.7860 0.0000 0.0000
0.0000 3.7860 0.0000
0.0000 0.0000 8.4115
Ac P Sn
2 1 1
Direct
0.0000 0.0000 0.7842 Ac
0.0000 0.0000 0.2158 Ac
0.5000 0.5000 0.0000 P
0.5000 0.5000 0.5000 Sn
```

## Properties
M_tot = 0.00 μB/cell


According to the calculations, the structures order from most to least stable as model x, model w.


Model w:
Entry from the Alexandria database: a relaxed SrAc2P crystal (GGA-PBE).

Structure (POSCAR):
```
SrAc2P
1.0
4.2580 0.0000 0.0000
2.1290 3.6875 0.0000
2.1290 1.2292 10.9084
Ac Sr P
2 1 1
Direct
0.7208 0.7208 0.8376 Ac
0.2792 0.2792 0.1624 Ac
0.5000 0.5000 0.5000 Sr
0.0000 0.0000 0.0000 P
```

## Properties
M_tot = 0.03 μB/cell


Model x:
Entry from the Alexandria database: a relaxed SrAc2P crystal (GGA-PBE).

Structure (POSCAR):
```
SrAc2P
1.0
3.8739 0.0000 0.0000
0.0000 3.8739 0.0000
0.0000 0.0000 10.3574
P Sr Ac
1 1 2
Direct
0.5000 0.5000 0.0000 P
0.5000 0.5000 0.5000 Sr
0.0000 0.0000 0.1650 Ac
0.0000 0.0000 0.8350 Ac
```

## Properties
M_tot = 0.00 μB/cell


According to the calculations, the structures order from most to least stable as model w, model x.


Model w:
Entry from the Alexandria database: a relaxed AcTcP crystal (GGA-PBE).

Structure (POSCAR):
```
AcTcP
1.0
6.3043 0.0000 -0.6894
0.0000 5.8975 0.0000
-2.6295 0.0000 7.4735
P Ac Tc
4 4 4
Direct
0.2709 0.8411 0.5442 P
0.7291 0.1589 0.4558 P
0.2291 0.3411 0.9558 P
0.7709 0.6589 0.0442 P
0.1873 0.3558 0.3766 Ac
0.8127 0.6442 0.6234 Ac
0.3127 0.8558 0.1234 Ac
0.6873 0.1442 0.8766 Ac
0.6125 0.4022 0.1919 Tc
0.8875 0.9022 0.3081 Tc
0.1125 0.0978 0.6919 Tc
0.3875 0.5978 0.8081 Tc
```

## Properties
M_tot = 0.00 μB/cell


Model x:
Entry from the Alexandria database: a relaxed AcTcP crystal (GGA-PBE).

Structure (POSCAR):
```
AcTcP
1.0
-3.1570 -0.9242 0.2132
0.6310 -1.4932 2.8702
0.0494 5.9892 1.2121
P Ac Tc
1 1 1
Direct
0.7076 0.7076 0.4152 P
0.0012 0.0012 0.0024 Ac
0.2912 0.2912 0.5825 Tc
```

## Properties
M_tot = 0.00 μB/cell


According to the calculations, the structures order from most to least stable as model w, model x.